1.
A plane-wave DFT calculation with GGA-PBE was carried out for a relaxed Na2HgGeTe4 crystal.

Computed properties:
mass density: 4.546 g cm⁻³
Fermi-level density of states: 0.07 states/eV per atom
ΔE_f (raw): -3.08 eV/f.u.
raw total energy: -2.900 eV/atom

a b c (Å): 8.9557 8.6820 7.7943
angles (deg): 90.00 90.00 90.00
Space group Pmn2_1 (No. 31)
Inequivalent atoms, fractional coordinates:
Na 0.2406 0.1821 0.0000
Hg 0.0000 0.3554 0.4722
Ge 0.0000 0.6647 0.9872
Te 0.0000 0.3935 0.8476
Te 0.0000 0.6533 0.3229
Te 0.2355 0.8291 0.8963

2.
A plane-wave DFT calculation with GGA-PBE was carried out for a relaxed CuRhCS crystal.

Computed properties:
mass density: 5.826 g cm⁻³
Fermi-level density of states: 0.27 states/eV per atom
ΔE_f (raw): 1.64 eV/f.u.
relative energy among the computed polymorphs: 71.5 meV/atom
raw total energy: -5.790 eV/atom

a b c (Å): 7.6566 3.5661 5.7644
angles (deg): 90.00 130.31 90.00
Space group Cm (No. 8)
Inequivalent atoms, fractional coordinates:
Cu 0.0000 0.0000 0.0000
Rh 0.4778 0.0000 0.3444
C 0.1110 0.0000 0.4141
S 0.4124 0.0000 0.6869

3.
A plane-wave DFT calculation with GGA-PBE was carried out for a relaxed CaReO2 crystal.

Computed properties:
mass density: 9.458 g cm⁻³
Fermi-level density of states: 0.65 states/eV per atom
ΔE_f (raw): -2.44 eV/f.u.
relative energy among the computed polymorphs: 931.6 meV/atom
raw total energy: -6.700 eV/atom

a b c (Å): 5.6606 5.6606 5.6606
angles (deg): 90.00 90.00 90.00
Space group Fm-3m (No. 225)
Inequivalent atoms, fractional coordinates:
Ca 0.0000 0.0000 0.0000
Re 0.0000 0.0000 0.5000
O 0.2500 0.2500 0.2500

4.
A plane-wave DFT calculation with GGA-PBE was carried out for a relaxed GaHRu3 crystal.

Computed properties:
mass density: 10.290 g cm⁻³
Fermi-level density of states: 1.36 states/eV per atom
relative energy among the computed polymorphs: 0.0 meV/atom
raw total energy: -6.740 eV/atom

a b c (Å): 3.9223 3.9223 3.9223
angles (deg): 90.00 90.00 90.00
Space group Pm-3m (No. 221)
Inequivalent atoms, fractional coordinates:
Ga 0.0000 0.0000 0.0000
H 0.5000 0.5000 0.5000
Ru 0.0000 0.5000 0.5000

5.
A plane-wave DFT calculation with GGA-PBE was carried out for a relaxed Ca3HfNp2As6 crystal.

Computed properties:
mass density: 6.832 g cm⁻³
Fermi-level density of states: 1.30 states/eV per atom
ΔH_f (0 K): -984 meV/atom
raw total energy: -6.796 eV/atom

a b c (Å): 7.0926 12.2872 7.2174
angles (deg): 90.00 109.16 90.00
Space group C2/m (No. 12)
Inequivalent atoms, fractional coordinates:
Ca 0.0000 0.0000 0.0000
Ca 0.0000 0.3318 0.0000
Hf 0.0000 0.5000 0.5000
Np 0.0000 0.1664 0.5000
As 0.2379 0.3377 0.7270
As 0.2483 0.5000 0.2724

6.
A plane-wave DFT calculation with GGA-PBE was carried out for a relaxed CsKPO3 crystal.

Computed properties:
mass density: 2.961 g cm⁻³
Fermi-level density of states: 0.32 states/eV per atom
ΔE_f (raw): -10.73 eV/f.u.
raw total energy: -5.495 eV/atom

a b c (Å): 6.4189 6.4189 7.8885
angles (deg): 90.00 90.00 120.00
Space group P6_3/mmc (No. 194)
Inequivalent atoms, fractional coordinates:
Cs 0.3333 0.6667 0.2500
K 0.0000 0.0000 0.0000
P 0.3333 0.6667 0.7500
O 0.1953 0.3906 0.7500

7.
A plane-wave DFT calculation with GGA-PBE was carried out for a relaxed Co2GeBr crystal.

Computed properties:
mass density: 7.776 g cm⁻³
Fermi-level density of states: 1.30 states/eV per atom
ΔE_f (raw): 2.33 eV/f.u.
relative energy among the computed polymorphs: 110.6 meV/atom
raw total energy: -4.543 eV/atom

a b c (Å): 6.1357 6.1357 6.1357
angles (deg): 90.00 90.00 90.00
Space group Fm-3m (No. 225)
Inequivalent atoms, fractional coordinates:
Co 0.2500 0.2500 0.2500
Ge 0.0000 0.0000 0.0000
Br 0.0000 0.0000 0.5000

8.
A plane-wave DFT calculation with GGA-PBE was carried out for a relaxed LiCd2F crystal.

Computed properties:
mass density: 5.389 g cm⁻³
Fermi-level density of states: 0.26 states/eV per atom
ΔE_f (raw): -2.36 eV/f.u.
relative energy among the computed polymorphs: 253.2 meV/atom
raw total energy: -1.993 eV/atom

a b c (Å): 6.7611 6.7611 6.7611
angles (deg): 90.00 90.00 90.00
Space group Fm-3m (No. 225)
Inequivalent atoms, fractional coordinates:
Li 0.0000 0.0000 0.0000
Cd 0.2500 0.2500 0.2500
F 0.0000 0.0000 0.5000

no.,total moment (μB/f.u.)
1,0.0
2,0.0
3,0.2
4,1.6
5,6.0
6,0.5
7,1.9
8,0.0